{"formula": "LaNdScAg", "functional": "GGA-PBE", "state": "relaxed", "lattice_angstrom": [[-2.525, 2.821, 3.909], [-5.423, -0.186, 0.420], [-2.318, -2.611, 4.175]], "species": ["Sc", "Ag", "Nd", "La"], "fractional_positions": [[0.750, 0.750, 0.750], [0.250, 0.250, 0.250], [0.000, 0.000, 0.000], [0.500, 0.500, 0.500]], "space_group": "No. 216", "crystal_system": "cubic", "e_form_ev_per_atom": 0.039, "dos_at_fermi_per_ev_fu": 4.34}


{"formula": "BaSnHg2Bi2", "functional": "GGA-PBE", "state": "relaxed", "lattice_angstrom": [[-5.362, 1.564, -2.475], [0.807, -7.056, -6.209], [-3.955, 1.180, 9.313]], "species": ["Hg", "Bi", "Bi", "Ba", "Hg", "Hg", "Bi", "Sn", "Sn", "Hg", "Ba", "Bi"], "fractional_positions": [[0.509, 0.791, 0.765], [0.750, 0.000, 0.571], [0.750, 0.521, 0.240], [0.250, 0.234, 0.920], [0.991, 0.791, 0.765], [0.009, 0.209, 0.235], [0.250, 0.000, 0.429], [0.750, 0.331, 0.568], [0.250, 0.669, 0.432], [0.491, 0.209, 0.235], [0.750, 0.766, 0.080], [0.250, 0.479, 0.760]], "space_group": "No. 11", "crystal_system": "monoclinic", "e_form_ev_per_atom": -0.244, "dos_at_fermi_per_ev_fu": 2.32}


{"formula": "K3Mg2Sn9", "functional": "GGA-PBE", "state": "relaxed", "lattice_angstrom": [[-2.344, -0.341, -4.144], [-8.321, -4.611, 2.338], [-6.073, 7.686, 0.053]], "species": ["Sn", "K", "K", "Sn", "Sn", "Sn", "K", "Sn", "Mg", "Mg", "Sn", "Sn", "Sn", "Sn"], "fractional_positions": [[0.625, 0.034, 0.716], [0.000, 0.000, 0.000], [0.270, 0.730, 0.730], [0.153, 0.546, 0.147], [0.625, 0.716, 0.034], [0.847, 0.454, 0.853], [0.730, 0.270, 0.270], [0.375, 0.284, 0.966], [0.500, 0.355, 0.645], [0.500, 0.645, 0.355], [0.847, 0.853, 0.454], [0.375, 0.966, 0.284], [0.000, 0.500, 0.500], [0.153, 0.147, 0.546]], "space_group": "No. 71", "crystal_system": "orthorhombic", "e_form_ev_per_atom": -0.170, "dos_at_fermi_per_ev_fu": 3.66}


{"formula": "BeTlSe2", "functional": "GGA-PBE", "state": "relaxed", "lattice_angstrom": [[3.717, 0.000, 0.000], [0.000, 3.717, 0.000], [0.000, 0.000, 6.832]], "species": ["Be", "Se", "Tl", "Se"], "fractional_positions": [[0.500, 0.500, 0.941], [0.500, 0.500, 0.258], [0.000, 0.000, 0.437], [0.000, 0.000, 0.864]], "space_group": "No. 99", "crystal_system": "tetragonal", "e_form_raw_ev_per_atom": -0.079, "dos_at_fermi_per_ev_fu": 1.47}